This record from the Alexandria database describes a relaxed FeAuO crystal. The functional is PBE with a Hubbard U.

Unit cell a=5.1974 b=3.2384 c=11.0435 alpha=90.00 beta=97.28 gamma=90.00
With the nearest neighbours (Å) after each atom.
Space group Cm (No. 8)
Symmetry-distinct sites (fractional):
Fe  0.0000  0.0000  0.0000  4 O 1.92-1.96
Fe  0.2347  0.5000  0.2702  3 O 2.04-2.13
Au  0.0629  0.5000  0.6818  1 O 2.82, 7 Au 2.93-3.06
Au  0.1566  0.0000  0.4710  3 Fe 2.82-2.91, 7 Au 2.93-3.06
O  0.0715  0.0000  0.1783  4 Fe 1.96-2.13
O  0.1343  0.5000  0.9395  3 Fe 1.92-1.93

Results
Magnetization in Bohr magnetons per cell: 17.00
E in eV/atom: -5.272